Computed, not measured: Th2TlFe after structural relaxation at the PBE level of DFT.

Calculated density ... 11.9 g/cm3
ΔE_f ... -4.4 kJ per mole of atoms
Offset from the most stable computed form ... 83 meV/atom
DOS(E_F) ... 3.53 states/eV per cell

a b c (Å): 3.3908 3.3908 8.7766
angles (deg): 90.00 90.00 90.00
With the nearest neighbours (Å) after each atom.
Fractional coordinates of all 4 atoms:
1 Th 0.0000 0.0000 0.1985  4 Fe 2.96
2 Th 0.0000 0.0000 0.8015  4 Fe 2.96
3 Tl 0.5000 0.5000 0.5000  4 Tl 3.39, 8 Th 3.57
4 Fe 0.5000 0.5000 0.0000  8 Th 2.96